A plane-wave DFT calculation with PBE was carried out for a geometry-optimized TaCdRe2 structure.

Cell: 3.1839 4.5649 9.3462 Å, 90.00 90.00 90.00°
With the nearest neighbours (Å) after each atom.
Space group Cmmm (No. 65)
Inequivalent atoms, fractional coordinates:
Ta 0.0000 0.0000 0.0000 (multiplicity 2)  4 Re 2.70, 4 Ta 2.78
Cd 0.0000 0.0000 0.5000 (multiplicity 2)  4 Cd 2.78, 4 Re 2.95
Re 0.0000 0.5000 0.2340 (multiplicity 4)  2 Ta 2.70, 4 Re 2.78, 2 Cd 2.95

The density comes out at 16.3 g cm⁻³. As for the formation energy: 19 kJ/mol of atoms. The electronic total energy is -9.21 eV/atom. Its magnetization is 0.0 μB per formula unit.

A plane-wave DFT calculation with PBE was carried out for a geometry-optimized Ta2ZnCdRe structure.

Cell: 4.9651 4.9651 4.3931 Å, 90.00 90.00 90.00°
With the nearest neighbours (Å) after each atom.
Space group P4/mmm (No. 123)
Inequivalent atoms, fractional coordinates:
Ta 0.0000 0.5000 0.0000 (multiplicity 2)  2 Cd 2.48
Zn 0.0000 0.0000 0.5000 (multiplicity 1)  2 Cd 2.20
Cd 0.0000 0.0000 0.0000 (multiplicity 1)  2 Zn 2.20
Re 0.5000 0.5000 0.5000 (multiplicity 1)  8 Ta 3.31, 4 Zn 3.51

The density comes out at 11.1 g cm⁻³. As for the formation energy: 214 kJ/mol of atoms. The electronic total energy is -5.45 eV/atom. Its magnetization is 0.3 μB per formula unit.

A plane-wave DFT calculation with PBE was carried out for a geometry-optimized Tb4CdRe structure.

Cell: 8.6787 12.9629 6.2633 Å, 90.00 106.78 90.00°
With the nearest neighbours (Å) after each atom.
Space group C2/c (No. 15)
Inequivalent atoms, fractional coordinates:
Tb 0.1061 0.1704 0.0452 (multiplicity 8)  2 Re 2.83-2.86
Tb 0.2210 0.4208 0.3946 (multiplicity 8)  2 Re 2.96-3.00, 1 Cd 3.25
Cd 0.0000 0.3745 0.7500 (multiplicity 4)  8 Tb 3.21-3.39
Re 0.0000 0.0007 0.2500 (multiplicity 4)  8 Tb 2.83-3.00, 2 Re 3.13

The density comes out at 9.2 g cm⁻³. As for the formation energy: -12 kJ/mol of atoms. The electronic total energy is -5.44 eV/atom. Its magnetization is 0.0 μB per formula unit.